Entry from Alexandria via LeMat-Bulk: a relaxed BaSm4Mn3O12 crystal (GGA+U).

```
BaSm4Mn3O12
1.0
-4.202 4.202 4.202
4.202 -4.202 4.202
4.202 4.202 -4.202
Ba Sm Mn O
1 4 3 12
direct
0.000 0.000 0.000
0.000 0.000 0.500
0.000 0.500 0.000
0.500 0.000 0.000
0.500 0.500 0.500
0.000 0.500 0.500
0.500 0.000 0.500
0.500 0.500 0.000
0.154 0.328 0.482
0.154 0.672 0.827
0.173 0.846 0.328
0.328 0.173 0.846
0.328 0.482 0.154
0.482 0.154 0.328
0.518 0.846 0.672
0.672 0.518 0.846
0.672 0.827 0.154
0.827 0.154 0.672
0.846 0.328 0.173
0.846 0.672 0.518
```

Values from the calculation:
* E_tot: -7.61 eV per atom
* space-group type: No. 204
* total moment: 13.1 Bohr magnetons per cell